1.
Below is an optimized crystal structure of CuRu2, with properties calculated at the GGA-PBE level.

Values from the calculation:
For the formation energy, the calculation gives 0.7579 eV/atom. The total energy is -6.7914 eV/atom. Its magnetization is 1.6 μB per cell. The calculation puts the offset from the most stable computed form at 0.602 eV per atom. As for the space group: Fd-3m (227). For the volume, the calculation gives 15.1 Å³/atom.

Cell: 5.043 5.043 5.043 Å, 60.00 60.00 60.00°
Atoms (fractional coordinates):
1 Cu 0.750 0.750 0.750
2 Cu 0.500 0.500 0.500
3 Ru 0.125 0.625 0.125
4 Ru 0.125 0.125 0.625
5 Ru 0.625 0.125 0.125
6 Ru 0.125 0.125 0.125

=====

2.
Below is an optimized crystal structure of CuRu2, with properties calculated at the GGA-PBE level.

Values from the calculation:
For the formation energy, the calculation gives 0.4344 eV/atom. The total energy is -7.1149 eV/atom. Its magnetization is 0.0 μB per cell. The calculation puts the offset from the most stable computed form at 0.279 eV per atom. As for the space group: I4_1/amd (141). For the volume, the calculation gives 13.9 Å³/atom.

Cell: 12.163 12.163 12.163 Å, 167.55 167.55 17.64°
Atoms (fractional coordinates):
1 Cu 0.000 0.000 0.000
2 Cu 0.750 0.250 0.500
3 Ru 0.331 0.831 0.500
4 Ru 0.169 0.669 0.500
5 Ru 0.581 0.581 0.000
6 Ru 0.419 0.419 0.000

=====

3.
Below is an optimized crystal structure of CuRu3, with properties calculated at the GGA-PBE level.

Values from the calculation:
For the formation energy, the calculation gives 0.3142 eV/atom. The total energy is -7.6667 eV/atom. Its magnetization is 1.2 μB per cell. As for the space group: I4/mmm (139). For the volume, the calculation gives 13.6 Å³/atom.

Cell: 8.158 8.158 8.158 Å, 153.37 153.37 38.01°
Atoms (fractional coordinates):
1 Cu 0.378 0.378 0.000
2 Cu 0.622 0.622 0.000
3 Ru 0.500 0.000 0.500
4 Ru 0.127 0.127 0.000
5 Ru 0.873 0.873 0.000
6 Ru 0.750 0.250 0.500
7 Ru 0.250 0.750 0.500
8 Ru 0.000 0.500 0.500

=====

4.
Below is an optimized crystal structure of Cu3Ru4, with properties calculated at the GGA-PBE level.

Values from the calculation:
For the formation energy, the calculation gives 0.2895 eV/atom. The total energy is -6.7665 eV/atom. Its magnetization is 0.0 μB per cell. The calculation puts the offset from the most stable computed form at 0.125 eV per atom. As for the space group: P6/mmm (191). For the volume, the calculation gives 13.1 Å³/atom.

Cell: 4.652 4.652 4.901 Å, 90.00 90.00 120.00°
Atoms (fractional coordinates):
1 Cu 0.000 0.500 0.000
2 Cu 0.500 0.500 0.000
3 Cu 0.500 0.000 0.000
4 Ru 0.000 0.000 0.260
5 Ru 0.000 0.000 0.740
6 Ru 0.667 0.333 0.500
7 Ru 0.333 0.667 0.500